Here is a relaxed structure of TmLuCuTe3 from OQMD. Energies are from GGA-PBE.

```
data_TmLuCuTe3
_symmetry_space_group_name_H-M 'C m c m'
_symmetry_Int_Tables_number 63
_symmetry_space_group_name_Hall '-C 2c 2'
_cell_length_a 4.073
_cell_length_b 14.190
_cell_length_c 10.856
_cell_angle_alpha 90.00
_cell_angle_beta 90.00
_cell_angle_gamma 90.00
loop_
_atom_site_label
_atom_site_type_symbol
_atom_site_fract_x
_atom_site_fract_y
_atom_site_fract_z
Tm1 Tm 0.000 0.226 0.250
Lu1 Lu 0.000 0.000 0.000
Cu1 Cu 0.000 0.471 0.750
Te1 Te 0.000 0.099 0.750
Te2 Te 0.000 0.351 0.564
```

Summary:
- calculated density (g cm⁻³) = 8.37
- energy above the lowest structure with this stoichiometry (eV per atom) = 0.000
- total magnetic moment (μB per formula unit) = 0.0